A relaxed structure of Ti2MnSbO8, computed with PBE with a Hubbard U.

```
Ti2MnSbO8
1.0
3.287 -3.288 0.000
3.287 3.288 0.000
0.000 0.000 6.046
Ti Mn Sb O
2 1 1 8
Cartesian
0.000 0.000 1.456
0.000 0.000 4.591
3.287 0.000 0.000
3.287 0.000 3.023
3.287 2.030 3.023
3.287 2.014 0.000
1.997 0.000 1.494
1.997 0.000 4.552
4.577 0.000 1.494
4.577 0.000 4.552
3.287 -2.014 0.000
3.287 -2.030 3.023
```

Calculated volume in Å³/atom: 10.89
DFT total energy in eV/cell: -93.00